Entry 1:
First-principles (GGA-PBEsol) data for a relaxed structure of MgCd2, as listed in Alexandria.

Properties
SG = No. 12
density of states at the Fermi level = 1.94 states/eV/cell
formation energy from the elements = -6.7 kJ per mole of atoms

Structure (extended XYZ):
```
6
Lattice="5.6394 -1.5682 0.0000 5.6394 1.5682 0.0000 -2.3695 0.0000 7.0845" Properties=species:S:1:pos:R:3 pbc="T T T"
Mg 1.7879 0.0000 0.9836
Mg 7.1213 0.0000 6.1009
Cd 0.3345 0.0000 3.7086
Cd 4.7796 0.0000 1.3784
Cd 4.1296 0.0000 5.7061
Cd 8.5747 0.0000 3.3759
```

***

Entry 2:
First-principles (GGA-PBEsol) data for a relaxed structure of Zr2CdTc, as listed in Alexandria.

Properties
SG = No. 123
density of states at the Fermi level = 3.41 states/eV/cell
formation energy from the elements = -27.7 kJ per mole of atoms

Structure (extended XYZ):
```
4
Lattice="3.2984 0.0000 0.0000 0.0000 3.2984 0.0000 0.0000 0.0000 7.0193" Properties=species:S:1:pos:R:3 pbc="T T T"
Zr 0.0000 0.0000 1.5465
Zr 0.0000 0.0000 5.4727
Cd 1.6492 1.6492 3.5096
Tc 1.6492 1.6492 0.0000
```

***

Entry 3:
First-principles (GGA-PBEsol) data for a relaxed structure of HfFe2Si2, as listed in Alexandria.

Properties
E_form (uncorrected) = -0.75 eV per atom
SG = No. 57
density of states at the Fermi level = 13.60 states/eV/cell

Structure (extended XYZ):
```
20
Lattice="7.3438 0.0000 0.0000 0.0000 6.9276 0.0000 0.0000 0.0000 4.9763" Properties=species:S:1:pos:R:3 pbc="T T T"
Hf 1.8261 0.6392 1.2441
Hf 1.8261 2.8246 3.7322
Hf 5.5177 4.1031 1.2441
Hf 5.5177 6.2884 3.7322
Fe 0.8000 0.1180 3.7322
Fe 0.8000 3.3458 1.2441
Fe 2.8618 5.1957 0.0000
Fe 2.8618 5.1957 2.4882
Fe 4.4820 1.7319 0.0000
Fe 4.4820 1.7319 2.4882
Fe 6.5438 3.5819 3.7322
Fe 6.5438 6.8096 1.2441
Si 0.4160 5.1957 0.0000
Si 0.4160 5.1957 2.4882
Si 3.0442 0.3354 3.7322
Si 3.0442 3.1284 1.2441
Si 4.2996 3.7992 3.7322
Si 4.2996 6.5922 1.2441
Si 6.9278 1.7319 0.0000
Si 6.9278 1.7319 2.4882
```

***

Entry 4:
First-principles (GGA-PBEsol) data for a relaxed structure of ZrBe4, as listed in Alexandria.

Properties
SG = No. 139
offset from the most stable computed form = 156.9 meV per atom
density of states at the Fermi level = 1.36 states/eV/cell
formation energy from the elements = -2.5 kJ per mole of atoms

Structure (extended XYZ):
```
5
Lattice="-2.6467 2.6467 1.9410 2.6467 -2.6467 1.9410 2.6467 2.6467 -1.9410" Properties=species:S:1:pos:R:3 pbc="T T T"
Zr 0.0000 0.0000 0.0000
Be 2.6467 0.9993 0.0000
Be 0.9993 2.6467 0.0000
Be 1.6475 0.0000 1.9410
Be 0.0000 1.6475 1.9410
```

***

Entry 5:
First-principles (GGA-PBEsol) data for a relaxed structure of LiSc2Tl, as listed in Alexandria.

Properties
SG = No. 123
density of states at the Fermi level = 3.30 states/eV/cell
formation energy from the elements = -20.3 kJ per mole of atoms

Structure (extended XYZ):
```
4
Lattice="4.6261 0.0000 0.0000 0.0000 4.6261 0.0000 0.0000 0.0000 3.9355" Properties=species:S:1:pos:R:3 pbc="T T T"
Li 0.0000 0.0000 0.0000
Sc 0.0000 2.3131 1.9678
Sc 2.3131 0.0000 1.9678
Tl 2.3131 2.3131 0.0000
```

***

Entry 6:
First-principles (GGA-PBEsol) data for a relaxed structure of K2NbF7, as listed in Alexandria.

Properties
E_form (uncorrected) = -3.09 eV per atom
SG = No. 14
density of states at the Fermi level = 0.00 states/eV/cell

Structure (extended XYZ):
```
40
Lattice="5.8157 0.0000 0.0000 0.0000 12.6485 0.0000 -0.0223 0.0000 8.4940" Properties=species:S:1:pos:R:3 pbc="T T T"
K 1.3857 0.7543 1.5320
K 1.3746 5.5700 5.7791
K 1.3880 9.0820 0.4590
K 1.3768 9.8907 4.7060
K 4.4166 2.7578 3.7880
K 4.4055 3.5665 8.0350
K 4.4189 7.0785 2.7150
K 4.4077 11.8942 6.9620
Nb 1.5396 1.6246 6.1289
Nb 1.5508 4.6997 1.8819
Nb 4.2427 7.9488 6.6121
Nb 4.2538 11.0239 2.3651
F 0.2044 1.3491 7.5734
F 0.2156 4.9752 3.3264
F 0.2254 3.1123 5.9458
F 0.2365 3.2119 1.6988
F 1.0405 1.5457 4.2429
F 1.0293 4.7785 8.4899
F 1.2049 6.6317 1.8068
F 1.1938 12.3410 6.0538
F 2.5378 7.2820 7.4133
F 2.5490 11.6907 3.1663
F 2.6862 3.0692 1.7549
F 2.6750 3.2551 6.0019
F 2.6855 1.3820 7.7321
F 2.6966 4.9422 3.4851
F 3.0968 7.7063 5.0089
F 3.1079 11.2664 0.7619
F 3.1184 9.3934 2.4921
F 3.1073 9.5793 6.7391
F 3.2445 0.9578 5.3277
F 3.2556 5.3665 1.0807
F 4.5997 0.3075 2.4403
F 4.5885 6.0167 6.6873
F 4.7641 7.8700 0.0041
F 4.7530 11.1027 4.2511
F 5.5569 9.4366 6.7952
F 5.5681 9.5361 2.5482
F 5.5779 7.6733 5.1676
F 5.5890 11.2994 0.9206
```

***

Entry 7:
First-principles (GGA-PBEsol) data for a relaxed structure of Sr5Ge3, as listed in Alexandria.

Properties
SG = No. 140
density of states at the Fermi level = 8.39 states/eV/cell
formation energy from the elements = -56.1 kJ per mole of atoms

Structure (extended XYZ):
```
16
Lattice="-4.0118 4.0118 7.8535 4.0118 -4.0118 7.8535 4.0118 4.0118 -7.8535" Properties=species:S:1:pos:R:3 pbc="T T T"
Sr 0.0000 0.0000 0.0000
Sr 5.4420 1.4302 -2.2255
Sr 1.4302 2.5816 -2.2255
Sr 5.4420 1.4302 2.2255
Sr 1.4302 2.5816 2.2255
Sr 0.0000 0.0000 7.8535
Sr 2.5816 1.4302 5.6281
Sr -1.4302 2.5816 5.6281
Sr 2.5816 1.4302 10.0790
Sr -1.4302 2.5816 10.0790
Ge 3.1026 0.9092 0.0000
Ge 0.0000 0.0000 3.9268
Ge 3.1026 -0.9092 7.8535
Ge 0.9092 4.9209 0.0000
Ge 0.0000 0.0000 11.7803
Ge 0.9092 3.1026 7.8535
```

***

Entry 8:
First-principles (GGA-PBEsol) data for a relaxed structure of Mo2PdF, as listed in Alexandria.

Properties
E_form (uncorrected) = 0.21 eV per atom
SG = No. 225
density of states at the Fermi level = 3.49 states/eV/cell

Structure (extended XYZ):
```
4
Lattice="0.0000 3.0154 3.0154 3.0154 0.0000 3.0154 3.0154 3.0154 0.0000" Properties=species:S:1:pos:R:3 pbc="T T T"
Mo 1.5077 1.5077 1.5077
Mo 4.5231 4.5231 4.5231
Pd 0.0000 0.0000 0.0000
F 3.0154 3.0154 3.0154
```